DFT (PBE) results for a relaxed CeDy5Ru4 crystal.

a b c (Å): 4.8880 6.7439 7.5745
angles (deg): 84.78 108.82 90.00
With the nearest neighbours (Å) after each atom.
Element x y z (fractional)
Ru (0.3470, 0.2456, 0.6940)  1 Ce 2.62, 4 Dy 2.91-2.92
Ru (0.0000, 0.7570, 0.0001)  6 Dy 2.86-3.01, 2 Ce 2.94
Ru (0.0000, 0.2430, 0.9999)  6 Dy 2.86-3.01, 2 Ce 2.94
Ru (0.6530, 0.7544, 0.3060)  1 Ce 2.62, 4 Dy 2.91-2.92
Ce (0.5000, 0.0000, 0.0000)  2 Ru 2.62
Dy (0.5000, 0.5000, 0.0000)  6 Ru 2.91-3.00
Dy (0.8338, 0.5175, 0.6676)  5 Ru 2.87-3.05
Dy (0.1697, 0.9840, 0.3393)  4 Ru 2.86-3.00
Dy (0.8303, 0.0160, 0.6607)  4 Ru 2.86-3.00
Dy (0.1662, 0.4825, 0.3324)  5 Ru 2.87-3.05

Results
The spin magnetization comes out at 0.0 Bohr magnetons per cell. The value obtained for the volume is 235 Å³ per cell. As for the total DFT energy (no corrections): -0.255 Ha/atom. The calculation puts the energy of formation from the pure elements at -31 kJ/mol of atoms.


DFT (PBE) results for a relaxed Ce3DyRu2 crystal.

a b c (Å): 4.6726 7.9781 7.9781
angles (deg): 109.68 90.00 90.00
With the nearest neighbours (Å) after each atom.
Element x y z (fractional)
Ce (0.4930, 0.9242, 0.9242)  4 Ce 2.72-2.82
Ce (0.9930, 0.0758, 0.0758)  4 Ce 2.72-2.82
Ce (0.9930, 0.9222, 0.3461)  1 Ru 2.44
Ce (0.9930, 0.3461, 0.9222)  1 Ru 2.44
Ce (0.4930, 0.6539, 0.0778)  1 Ru 2.44
Ce (0.4930, 0.0778, 0.6539)  1 Ru 2.44
Ru (0.4930, 0.7624, 0.4742)  1 Ce 2.44
Ru (0.4930, 0.4742, 0.7624)  1 Ce 2.44
Ru (0.9930, 0.2376, 0.5258)  1 Ce 2.44
Ru (0.9930, 0.5258, 0.2376)  1 Ce 2.44
Dy (0.4930, 0.3574, 0.3574)  6 Ru 3.01-3.05
Dy (0.9930, 0.6426, 0.6426)  6 Ru 3.01-3.05

Results
The spin magnetization comes out at 0.0 Bohr magnetons per cell. The value obtained for the volume is 280 Å³ per cell. As for the total DFT energy (no corrections): -0.258 Ha/atom. The calculation puts the energy of formation from the pure elements at -18 kJ/mol of atoms.


DFT (PBE) results for a relaxed CeDyRu crystal.

a b c (Å): 4.0451 4.5033 4.5033
angles (deg): 120.00 90.00 90.00
With the nearest neighbours (Å) after each atom.
Element x y z (fractional)
Ru (0.0275, 0.0000, 0.0000)  3 Ce 2.77, 3 Dy 2.90
Dy (0.7091, 0.6667, 0.3333)  3 Ru 2.90, 3 Ce 3.16
Ce (0.2634, 0.3333, 0.6667)  3 Ru 2.77

Results
The spin magnetization comes out at 0.1 Bohr magnetons per cell. The value obtained for the volume is 71 Å³ per cell. As for the total DFT energy (no corrections): -0.246 Ha/atom. The calculation puts the energy of formation from the pure elements at -9 kJ/mol of atoms.


DFT (PBE) results for a relaxed Ce3Dy2Ru2 crystal.

a b c (Å): 3.7898 6.0125 8.7766
angles (deg): 68.47 77.53 71.63
With the nearest neighbours (Å) after each atom.
Element x y z (fractional)
Ce (0.3772, 0.8111, 0.4345)  2 Ru 2.76
Ce (0.6228, 0.1889, 0.5655)  2 Ru 2.76
Ce (0.5000, 0.0000, 0.0000)  4 Ru 2.70
Ru (0.1347, 0.9380, 0.7927)  4 Ce 2.70-2.76, 2 Dy 3.01
Ru (0.8653, 0.0620, 0.2073)  4 Ce 2.70-2.76, 2 Dy 3.01
Dy (0.8373, 0.5235, 0.8019)  3 Ru 3.01-3.37
Dy (0.1627, 0.4765, 0.1981)  3 Ru 3.01-3.37

Results
The spin magnetization comes out at 0.0 Bohr magnetons per cell. The value obtained for the volume is 175 Å³ per cell. As for the total DFT energy (no corrections): -0.249 Ha/atom. The calculation puts the energy of formation from the pure elements at -25 kJ/mol of atoms.